Model a:
Computed, not measured: a relaxed NaZrGa crystal at the GGA-PBE level of DFT.

Results
As for the space-group type: Cm (8). The calculation puts the magnetic moment at 0.0 Bohr magnetons per cell. The value obtained for the density of states at the Fermi level is 8.38 states/eV/cell.

Unit cell a=4.421 b=4.421 c=14.042 alpha=90.00 beta=90.06 gamma=90.00
Positions (direct):
Na1 0.000 0.000 0.000
Na2 0.003 0.500 0.774
Na3 0.500 0.500 0.000
Na4 0.503 0.000 0.774
Zr1 0.001 0.500 0.204
Zr2 0.002 0.500 0.478
Zr3 0.501 0.000 0.204
Zr4 0.502 0.000 0.478
Ga1 0.002 0.000 0.338
Ga2 0.003 0.000 0.616
Ga3 0.502 0.500 0.338
Ga4 0.503 0.500 0.616



Model b:
Computed, not measured: a relaxed NaZrGa crystal at the GGA-PBE level of DFT.

Results
As for the space-group type: Cm (8). The calculation puts the magnetic moment at 0.0 Bohr magnetons per cell. The value obtained for the density of states at the Fermi level is 0.12 states/eV/cell.

Unit cell a=10.695 b=3.129 c=8.884 alpha=90.00 beta=110.90 gamma=90.00
Positions (direct):
Na1 0.000 0.000 0.000
Na2 0.181 0.500 0.808
Na3 0.500 0.500 0.000
Na4 0.681 0.000 0.808
Zr1 0.017 0.000 0.419
Zr2 0.352 0.000 0.577
Zr3 0.517 0.500 0.419
Zr4 0.852 0.500 0.577
Ga1 0.200 0.500 0.307
Ga2 0.322 0.000 0.156
Ga3 0.700 0.000 0.307
Ga4 0.822 0.500 0.156



Computed stability ranking, most favorable first: model a, model b



Model a:
Computed, not measured: a relaxed Na3ZrGa crystal at the GGA-PBE level of DFT.

Results
As for the space-group type: Pm-3m (221). The calculation puts the magnetic moment at 2.7 Bohr magnetons per cell. The value obtained for the density of states at the Fermi level is 8.63 states/eV/cell.

Unit cell a=5.434 b=5.434 c=5.434 alpha=90.00 beta=90.00 gamma=90.00
Positions (direct):
Na1 0.000 0.000 0.500
Na2 0.000 0.500 0.000
Na3 0.500 0.000 0.000
Zr1 0.500 0.500 0.500
Ga1 0.000 0.000 0.000



Model b:
Computed, not measured: a relaxed Na3ZrGa crystal at the GGA-PBE level of DFT.

Results
As for the space-group type: Pm-3m (221). The calculation puts the magnetic moment at 3.9 Bohr magnetons per cell. The value obtained for the density of states at the Fermi level is 7.69 states/eV/cell.

Unit cell a=6.030 b=6.030 c=6.030 alpha=90.00 beta=90.00 gamma=90.00
Positions (direct):
Na1 0.000 0.000 0.500
Na2 0.000 0.500 0.000
Na3 0.500 0.000 0.000
Zr1 0.000 0.000 0.000
Ga1 0.500 0.500 0.500



Computed stability ranking, most favorable first: model a, model b



Model a:
Computed, not measured: a relaxed NaZrGa3 crystal at the GGA-PBE level of DFT.

Results
As for the space-group type: Pm-3m (221). The calculation puts the magnetic moment at 0.0 Bohr magnetons per cell. The value obtained for the density of states at the Fermi level is 2.27 states/eV/cell.

Unit cell a=4.790 b=4.790 c=4.790 alpha=90.00 beta=90.00 gamma=90.00
Positions (direct):
Na1 0.000 0.000 0.000
Zr1 0.500 0.500 0.500
Ga1 0.000 0.000 0.500
Ga2 0.000 0.500 0.000
Ga3 0.500 0.000 0.000



Model b:
Computed, not measured: a relaxed NaZrGa3 crystal at the GGA-PBE level of DFT.

Results
As for the space-group type: Pm-3m (221). The calculation puts the magnetic moment at 0.0 Bohr magnetons per cell. The value obtained for the density of states at the Fermi level is 3.38 states/eV/cell.

Unit cell a=5.285 b=5.285 c=5.285 alpha=90.00 beta=90.00 gamma=90.00
Positions (direct):
Na1 0.000 0.000 0.000
Zr1 0.500 0.500 0.500
Ga1 0.000 0.500 0.500
Ga2 0.500 0.000 0.500
Ga3 0.500 0.500 0.000



Computed stability ranking, most favorable first: model b, model a



Model a:
Computed, not measured: a relaxed NaZr3Ga crystal at the GGA-PBE level of DFT.

Results
As for the space-group type: Pm-3m (221). The calculation puts the magnetic moment at 0.6 Bohr magnetons per cell. The value obtained for the density of states at the Fermi level is 10.47 states/eV/cell.

Unit cell a=5.154 b=5.154 c=5.154 alpha=90.00 beta=90.00 gamma=90.00
Positions (direct):
Na1 0.000 0.000 0.000
Zr1 0.000 0.500 0.500
Zr2 0.500 0.000 0.500
Zr3 0.500 0.500 0.000
Ga1 0.500 0.500 0.500



Model b:
Computed, not measured: a relaxed NaZr3Ga crystal at the GGA-PBE level of DFT.

Results
As for the space-group type: Pm-3m (221). The calculation puts the magnetic moment at 0.0 Bohr magnetons per cell. The value obtained for the density of states at the Fermi level is 5.01 states/eV/cell.

Unit cell a=4.946 b=4.946 c=4.946 alpha=90.00 beta=90.00 gamma=90.00
Positions (direct):
Na1 0.000 0.000 0.000
Zr1 0.000 0.000 0.500
Zr2 0.000 0.500 0.000
Zr3 0.500 0.000 0.000
Ga1 0.500 0.500 0.500



Computed stability ranking, most favorable first: model a, model b